Below is La2SmEr8 after structural relaxation, with properties calculated at the PBE level.

Cell and atoms, written as POSCAR:
```
La2SmEr8
1.0
-2.7620 4.0535 8.0093
2.7620 -4.0535 8.0093
2.7620 4.0535 -8.0093
La Sm Er
2 1 8
Cartesian
0.0000 0.0000 3.2249 La
0.0000 0.0000 12.7937 La
0.0000 0.0000 8.0093 Sm
2.7620 1.6799 -2.1757 Er
0.0000 1.6852 0.0000 Er
2.7620 0.0000 5.4580 Er
2.7620 1.6799 2.1757 Er
0.0000 2.3737 5.8335 Er
0.0000 4.0535 2.5512 Er
0.0000 6.4219 0.0000 Er
0.0000 2.3737 10.1850 Er
```

Summary:
Volume (Å³ per cell): 358.68
Calculated density (g/cm³): 8.18
Formation energy (eV per atom): 0.123
SG: Immm, No. 71